# 1
# GGA-PBE AgBi4Te7, optimized geometry
# Total DFT energy (no corrections) (eV per atom): -3.539
data_AgBi4Te7
_cell_length_a 4.4071
_cell_length_b 4.4071
_cell_length_c 24.2251
_cell_angle_alpha 90.00
_cell_angle_beta 90.00
_cell_angle_gamma 120.00
_symmetry_space_group_name_H-M 'P -3 m 1'
_symmetry_Int_Tables_number 164
_symmetry_space_group_name_Hall '-P 3 2"'
loop_
_atom_site_label
_atom_site_fract_x
_atom_site_fract_y
_atom_site_fract_z
_atom_site_occupancy
Ag1 0.0000 0.0000 0.0000 1
Bi1 0.3333 0.6667 0.1481 1
Bi2 0.3333 0.6667 0.4145 1
Te1 0.0000 0.0000 0.2212 1
Te2 0.0000 0.0000 0.5000 1
Te3 0.3333 0.6667 0.6578 1
Te4 0.3333 0.6667 0.9353 1

=====

# 2
# GGA-PBE Ag3Hg12F5, optimized geometry
# Total DFT energy (no corrections) (eV per atom): -1.538
data_Ag3Hg12F5
_cell_length_a 15.8105
_cell_length_b 15.8105
_cell_length_c 15.8105
_cell_angle_alpha 90.00
_cell_angle_beta 90.00
_cell_angle_gamma 90.00
_symmetry_space_group_name_H-M 'I a -3 d'
_symmetry_Int_Tables_number 230
_symmetry_space_group_name_Hall '-I 4bd 2c 3'
loop_
_atom_site_label
_atom_site_fract_x
_atom_site_fract_y
_atom_site_fract_z
_atom_site_occupancy
Ag1 0.0000 0.2500 0.1250 1
Hg1 0.0268 0.0773 0.6507 1
F1 0.0000 0.0000 0.0000 1
F2 0.0000 0.2500 0.3750 1

=====

# 3
# GGA-PBE KBe3B, optimized geometry
# ΔE to the lowest computed polymorph (meV per atom): 0.0
# Total DFT energy (no corrections) (eV per atom): -3.007
# E_form (meV per atom): 783
data_KBe3B
_cell_length_a 3.9930
_cell_length_b 3.9930
_cell_length_c 3.9930
_cell_angle_alpha 90.00
_cell_angle_beta 90.00
_cell_angle_gamma 90.00
_symmetry_space_group_name_H-M 'P m -3 m'
_symmetry_Int_Tables_number 221
_symmetry_space_group_name_Hall '-P 4 2 3'
loop_
_atom_site_label
_atom_site_fract_x
_atom_site_fract_y
_atom_site_fract_z
_atom_site_occupancy
K1 0.0000 0.0000 0.0000 1
Be1 0.0000 0.5000 0.5000 1
B1 0.5000 0.5000 0.5000 1

=====

# 4
# GGA-PBE LiCaAcCu, optimized geometry
# Total DFT energy (no corrections) (eV per atom): -3.020
# E_form (meV per atom): 10
data_LiCaAcCu
_cell_length_a 7.6032
_cell_length_b 7.6032
_cell_length_c 7.6032
_cell_angle_alpha 90.00
_cell_angle_beta 90.00
_cell_angle_gamma 90.00
_symmetry_space_group_name_H-M 'F -4 3 m'
_symmetry_Int_Tables_number 216
_symmetry_space_group_name_Hall 'F -4 2 3'
loop_
_atom_site_label
_atom_site_fract_x
_atom_site_fract_y
_atom_site_fract_z
_atom_site_occupancy
Li1 0.0000 0.0000 0.0000 1
Ca1 0.2500 0.2500 0.7500 1
Ac1 0.2500 0.2500 0.2500 1
Cu1 0.0000 0.0000 0.5000 1

=====

# 5
# GGA-PBE RbGaCl6, optimized geometry
# Total DFT energy (no corrections) (eV per atom): -2.703
data_RbGaCl6
_cell_length_a 9.2316
_cell_length_b 9.2316
_cell_length_c 9.3062
_cell_angle_alpha 90.00
_cell_angle_beta 90.00
_cell_angle_gamma 120.00
_symmetry_space_group_name_H-M 'R -3 m'
_symmetry_Int_Tables_number 166
_symmetry_space_group_name_Hall '-R 3 2"'
loop_
_atom_site_label
_atom_site_fract_x
_atom_site_fract_y
_atom_site_fract_z
_atom_site_occupancy
Rb1 0.0000 0.0000 0.0000 1
Ga1 0.0000 0.0000 0.5000 1
Cl1 0.0972 0.5486 0.3210 1

=====

# 6
# GGA-PBE Rb2SeS2, optimized geometry
# ΔE to the lowest computed polymorph (meV per atom): 280.4
# Total DFT energy (no corrections) (eV per atom): -3.235
data_Rb2SeS2
_cell_length_a 7.3645
_cell_length_b 7.3645
_cell_length_c 5.1246
_cell_angle_alpha 90.00
_cell_angle_beta 90.00
_cell_angle_gamma 90.00
_symmetry_space_group_name_H-M 'P 4/m b m'
_symmetry_Int_Tables_number 127
_symmetry_space_group_name_Hall '-P 4 2ab'
loop_
_atom_site_label
_atom_site_fract_x
_atom_site_fract_y
_atom_site_fract_z
_atom_site_occupancy
Rb1 0.1568 0.3432 0.0000 1
Se1 0.0000 0.0000 0.5000 1
S1 0.1675 0.6675 0.5000 1

=====

# 7
# GGA-PBE PmPr8Y6, optimized geometry
# ΔE to the lowest computed polymorph (meV per atom): 0.0
# Total DFT energy (no corrections) (eV per atom): -5.338
# E_form (meV per atom): 113
data_PmPr8Y6
_cell_length_a 9.2415
_cell_length_b 9.2415
_cell_length_c 21.1656
_cell_angle_alpha 90.00
_cell_angle_beta 90.00
_cell_angle_gamma 120.00
_symmetry_space_group_name_H-M 'R -3'
_symmetry_Int_Tables_number 148
_symmetry_space_group_name_Hall '-R 3'
loop_
_atom_site_label
_atom_site_fract_x
_atom_site_fract_y
_atom_site_fract_z
_atom_site_occupancy
Pm1 0.0000 0.0000 0.0000 1
Pr1 0.0000 0.0000 0.4224 1
Pr2 0.0801 0.5214 0.8063 1
Y1 0.0439 0.8010 0.7055 1

=====

# 8
# GGA-PBE MgNi2BrN, optimized geometry
# Total DFT energy (no corrections) (eV per atom): -2.537
data_MgNi2BrN
_cell_length_a 4.6337
_cell_length_b 4.6337
_cell_length_c 4.7440
_cell_angle_alpha 90.00
_cell_angle_beta 90.00
_cell_angle_gamma 90.00
_symmetry_space_group_name_H-M 'P 4/m m m'
_symmetry_Int_Tables_number 123
_symmetry_space_group_name_Hall '-P 4 2'
loop_
_atom_site_label
_atom_site_fract_x
_atom_site_fract_y
_atom_site_fract_z
_atom_site_occupancy
Mg1 0.0000 0.0000 0.0000 1
Ni1 0.0000 0.5000 0.0000 1
Br1 0.0000 0.0000 0.5000 1
N1 0.5000 0.5000 0.5000 1

=====

# 9
# GGA-PBE SmY3Tm4, optimized geometry
# ΔE to the lowest computed polymorph (meV per atom): 0.0
# Total DFT energy (no corrections) (eV per atom): -5.246
# E_form (meV per atom): 4
data_SmY3Tm4
_cell_length_a 11.1999
_cell_length_b 7.2432
_cell_length_c 6.2513
_cell_angle_alpha 90.00
_cell_angle_beta 90.00
_cell_angle_gamma 90.00
_symmetry_space_group_name_H-M 'P m n 21'
_symmetry_Int_Tables_number 31
_symmetry_space_group_name_Hall 'P 2ac -2'
loop_
_atom_site_label
_atom_site_fract_x
_atom_site_fract_y
_atom_site_fract_z
_atom_site_occupancy
Sm1 0.0000 0.1284 0.0000 1
Y1 0.0000 0.8727 0.4990 1
Y2 0.2504 0.1278 0.3361 1
Tm1 0.0000 0.3778 0.5038 1
Tm2 0.0000 0.6216 0.0032 1
Tm3 0.2493 0.6222 0.3347 1

=====

# 10
# GGA-PBE CsBa2Cd2, optimized geometry
# ΔE to the lowest computed polymorph (meV per atom): 55.6
# Total DFT energy (no corrections) (eV per atom): -1.373
# E_form (meV per atom): -67
data_CsBa2Cd2
_cell_length_a 6.3744
_cell_length_b 6.3744
_cell_length_c 12.1840
_cell_angle_alpha 90.00
_cell_angle_beta 90.00
_cell_angle_gamma 90.00
_symmetry_space_group_name_H-M 'I 4/m m m'
_symmetry_Int_Tables_number 139
_symmetry_space_group_name_Hall '-I 4 2'
loop_
_atom_site_label
_atom_site_fract_x
_atom_site_fract_y
_atom_site_fract_z
_atom_site_occupancy
Cs1 0.0000 0.0000 0.0000 1
Ba1 0.0000 0.5000 0.2500 1
Cd1 0.0000 0.0000 0.3849 1

=====

# 11
# GGA-PBE BePtSe, optimized geometry
# Total DFT energy (no corrections) (eV per atom): -4.899
data_BePtSe
_cell_length_a 3.7339
_cell_length_b 3.7362
_cell_length_c 8.5699
_cell_angle_alpha 90.29
_cell_angle_beta 91.18
_cell_angle_gamma 92.11
_symmetry_space_group_name_H-M 'P -1'
_symmetry_Int_Tables_number 2
_symmetry_space_group_name_Hall '-P 1'
loop_
_atom_site_label
_atom_site_fract_x
_atom_site_fract_y
_atom_site_fract_z
_atom_site_occupancy
Be1 0.2485 0.2381 0.3472 1
Pt1 0.3964 0.2472 0.6045 1
Se1 0.2346 0.7449 0.7981 1